(1)
LuTiPb2 (PBE, optimized geometry); space group = No. 123; crystal system = tetragonal
1.0
3.822 0.000 0.000
0.000 3.822 0.000
0.000 0.000 6.664
Lu Ti Pb
1 1 2
Cartesian
1.911 1.911 3.332
1.911 1.911 0.000
0.000 0.000 1.533
0.000 0.000 5.131

=====

(2)
Lu2TiPb (PBE, optimized geometry); space group = No. 166; crystal system = trigonal
1.0
3.399 0.000 0.000
1.700 2.944 0.000
1.700 0.981 10.197
Pb Ti Lu
1 1 2
Cartesian
0.000 0.000 0.000
3.399 1.963 5.099
1.700 0.981 2.690
5.099 2.944 7.507

=====

(3)
LuTiPb2 (PBE, optimized geometry); space group = No. 166; crystal system = trigonal
1.0
3.381 0.000 0.000
1.691 2.928 0.000
1.691 0.976 9.962
Lu Pb Ti
1 2 1
Cartesian
3.381 1.952 4.981
5.072 2.928 7.658
1.691 0.976 2.304
0.000 0.000 0.000

=====

| no. | relative energy among the computed polymorphs (eV per atom) |
| --- | --- |
| 1 | 0.004 |
| 2 | 0.088 |
| 3 | 0.032 |